Tm8AlIn2 | PBE-GGA | relaxed

The structure in CIF format:
```
data_Tm8AlIn2
_chemical_formula_sum 'Tm8 Al1 In2'
_space_group_name_H-M_alt 'P 1'
_space_group_IT_number 1
_space_group_name_Hall 'P 1'
_cell_length_a 5.4454
_cell_length_b 8.5207
_cell_length_c 8.5207
_cell_angle_alpha 118.88
_cell_angle_beta 102.58
_cell_angle_gamma 102.58
loop_
_atom_site_label
_atom_site_fract_x
_atom_site_fract_y
_atom_site_fract_z
In1 0.0000 0.3037 0.6963
In2 0.0000 0.6963 0.3037
Tm1 0.1165 0.3269 0.0990
Tm2 0.6963 0.3894 0.3894
Tm3 0.8835 0.6731 0.9010
Tm4 0.3037 0.6106 0.6106
Tm5 0.5000 0.7907 0.2093
Tm6 0.8835 0.9010 0.6731
Tm7 0.5000 0.2093 0.7907
Tm8 0.1165 0.0990 0.3269
Al1 0.5000 0.0000 0.0000
```

spin magnetization	0.00	μB per atom
E_form	-0.095	eV/atom